1.
This record from Alexandria via LeMat-Bulk describes Cs3ZnBi2 after structural relaxation. The functional is GGA-PBE.

Summary:
- Final energy: -12.66 eV per formula unit
- Magnetic moment: 1.06 μB per formula unit
- DFT formation energy: -176.7 meV/atom
- Offset from the most stable computed form: 0.077 eV/atom
- Symmetry: No. 72

a b c (Å): 8.8106 11.0577 10.3451
angles (deg): 122.31 115.20 90.00
With the nearest neighbours (Å) after each atom.
Fractional positions:
Bi: 0.1363 0.8954 0.7908  1 Zn 2.65
Bi: 0.8637 0.1046 0.2092  1 Zn 2.65
Zn: 0.0000 0.0000 0.0000  2 Bi 2.65
Cs: 0.2093 0.4593 0.4186  2 Bi 3.83, 2 Zn 4.20
Bi: 0.3456 0.6046 0.2092  1 Zn 2.65
Cs: 0.7907 0.5407 0.5814  2 Bi 3.83, 2 Zn 4.20
Cs: 0.5000 0.2500 0.0000  4 Bi 3.92
Zn: 0.0000 0.5000 0.0000  2 Bi 2.65
Cs: 0.2093 0.9593 0.4186  2 Bi 3.83, 2 Zn 4.20
Cs: 0.5000 0.7500 0.0000  4 Bi 3.92
Bi: 0.6544 0.3954 0.7908  1 Zn 2.65
Cs: 0.7907 0.0407 0.5814  2 Bi 3.83, 2 Zn 4.20



2.
This record from Alexandria via LeMat-Bulk describes FeGe2Au after structural relaxation. The functional is GGA-PBE.

Summary:
- Final energy: -19.83 eV per formula unit
- Magnetic moment: 2.24 μB per formula unit
- DFT formation energy: 287.4 meV/atom
- Offset from the most stable computed form: 0.101 eV/atom
- Symmetry: No. 166

a b c (Å): 3.9825 3.9825 5.5149
angles (deg): 68.83 68.83 60.00
With the nearest neighbours (Å) after each atom.
Fractional positions:
Ge: 0.7658 0.7658 0.7027  3 Fe 2.51, 3 Au 2.74
Ge: 0.2342 0.2342 0.2973  3 Fe 2.51, 3 Au 2.74
Au: 0.0000 0.0000 0.0000  6 Ge 2.74
Fe: 0.5000 0.5000 0.5000  6 Ge 2.51



3.
This record from Alexandria via LeMat-Bulk describes Tb2DyHo2Tl after structural relaxation. The functional is GGA-PBE.

Summary:
- Final energy: -25.26 eV per formula unit
- Magnetic moment: 0.00 μB per formula unit
- DFT formation energy: 21.4 meV/atom
- Symmetry: No. 58

a b c (Å): 5.5968 10.0190 6.5219
angles (deg): 90.00 90.00 90.00
With the nearest neighbours (Å) after each atom.
Fractional positions:
Dy: 0.5000 0.5000 0.0000  2 Tl 3.26, 2 Ho 3.59
Ho: 0.5000 0.1999 0.6996  5 Tb 3.27-3.38, 1 Tl 3.28, 1 Dy 3.59
Tl: 0.5000 0.5000 0.5000  2 Dy 3.26, 2 Ho 3.28, 4 Tb 3.35
Tb: 0.0000 0.3694 0.6968  5 Ho 3.27-3.38, 2 Tl 3.35
Ho: 0.0000 0.3001 0.1996  5 Tb 3.27-3.38, 1 Tl 3.28, 1 Dy 3.59
Ho: 0.0000 0.6999 0.8004  5 Tb 3.27-3.38, 1 Tl 3.28, 1 Dy 3.59
Ho: 0.5000 0.8001 0.3004  5 Tb 3.27-3.38, 1 Tl 3.28, 1 Dy 3.59
Dy: 0.0000 0.0000 0.5000  2 Tl 3.26, 2 Ho 3.59
Tl: 0.0000 0.0000 0.0000  2 Dy 3.26, 2 Ho 3.28, 4 Tb 3.35
Tb: 0.5000 0.8694 0.8032  5 Ho 3.27-3.38, 2 Tl 3.35
Tb: 0.5000 0.1306 0.1968  5 Ho 3.27-3.38, 2 Tl 3.35
Tb: 0.0000 0.6306 0.3032  5 Ho 3.27-3.38, 2 Tl 3.35



4.
This record from Alexandria via LeMat-Bulk describes LaZnGa2Rh2 after structural relaxation. The functional is GGA-PBE.

Summary:
- Final energy: -29.09 eV per formula unit
- Magnetic moment: 0.02 μB per formula unit
- DFT formation energy: -356.0 meV/atom
- Symmetry: No. 123

a b c (Å): 4.6140 4.6140 5.6737
angles (deg): 90.00 90.00 90.00
With the nearest neighbours (Å) after each atom.
Fractional positions:
Zn: 0.0000 0.0000 0.0000  4 Rh 2.31
Rh: 0.5000 0.0000 0.0000  2 Zn 2.31
Ga: 0.5000 0.5000 0.7508  4 Rh 2.71, 2 Ga 2.83-2.85
La: 0.0000 0.0000 0.5000  2 Zn 2.84
Rh: 0.0000 0.5000 0.0000  2 Zn 2.31
Ga: 0.5000 0.5000 0.2492  4 Rh 2.71, 2 Ga 2.83-2.85